Arrangement i

Density functional theory data (PBE) for crystalline Mg2IrO at its relaxed geometry.

extended XYZ file:
```
16
Lattice="6.1746 0.0000 0.0000 0.0000 6.1746 0.0000 0.0000 0.0000 6.1746" Properties=species:S:1:pos:R:3 pbc="T T T"
Mg 1.5437 1.5437 1.5437
Mg 1.5437 1.5437 4.6310
Mg 1.5437 4.6310 1.5437
Mg 1.5437 4.6310 4.6310
Mg 4.6310 1.5437 1.5437
Mg 4.6310 1.5437 4.6310
Mg 4.6310 4.6310 1.5437
Mg 4.6310 4.6310 4.6310
Ir 0.0000 0.0000 0.0000
Ir 0.0000 3.0873 3.0873
Ir 3.0873 0.0000 3.0873
Ir 3.0873 3.0873 0.0000
O 0.0000 0.0000 3.0873
O 0.0000 3.0873 0.0000
O 3.0873 0.0000 0.0000
O 3.0873 3.0873 3.0873
```

Values from the calculation:
* magnetization: 4.0 μB per cell

Arrangement ii

Density functional theory data (PBE) for crystalline Mg2IrO at its relaxed geometry.

extended XYZ file:
```
16
Lattice="5.9022 0.0000 0.0000 0.0000 5.9022 0.0000 0.0000 0.0000 7.2158" Properties=species:S:1:pos:R:3 pbc="T T T"
Mg 0.8908 1.4756 0.9020
Mg 1.4756 3.8419 2.7059
Mg 1.4756 5.0115 6.3138
Mg 2.0603 1.4756 4.5099
Mg 3.8419 4.4267 4.5099
Mg 4.4267 0.8908 6.3138
Mg 4.4267 2.0603 2.7059
Mg 5.0115 4.4267 0.9020
Ir 0.0000 0.0000 3.6079
Ir 0.0000 2.9511 5.4119
Ir 2.9511 0.0000 1.8040
Ir 2.9511 2.9511 0.0000
O 0.0000 0.0000 0.0000
O 0.0000 2.9511 1.8040
O 2.9511 0.0000 5.4119
O 2.9511 2.9511 3.6079
```

Values from the calculation:
* magnetization: 3.3 μB per cell

The most stable arrangement is arrangement ii, and the next structure is 61.8 kJ/mol of atoms less stable.

Arrangement i

Density functional theory data (PBE) for crystalline MgIr2O at its relaxed geometry.

extended XYZ file:
```
16
Lattice="5.9912 0.0000 0.0000 0.0000 5.9912 0.0000 0.0000 0.0000 5.9912" Properties=species:S:1:pos:R:3 pbc="T T T"
Mg 0.0000 0.0000 0.0000
Mg 0.0000 2.9956 2.9956
Mg 2.9956 0.0000 2.9956
Mg 2.9956 2.9956 0.0000
Ir 1.4978 1.4978 1.4978
Ir 1.4978 1.4978 4.4934
Ir 1.4978 4.4934 1.4978
Ir 1.4978 4.4934 4.4934
Ir 4.4934 1.4978 1.4978
Ir 4.4934 1.4978 4.4934
Ir 4.4934 4.4934 1.4978
Ir 4.4934 4.4934 4.4934
O 0.0000 0.0000 2.9956
O 0.0000 2.9956 0.0000
O 2.9956 0.0000 0.0000
O 2.9956 2.9956 2.9956
```

Values from the calculation:
* magnetization: 3.8 μB per cell

Arrangement ii

Density functional theory data (PBE) for crystalline MgIr2O at its relaxed geometry.

extended XYZ file:
```
16
Lattice="4.6925 0.0000 0.0000 0.0000 4.6925 0.0000 0.0000 0.0000 13.0353" Properties=species:S:1:pos:R:3 pbc="T T T"
Mg 0.0000 0.0000 0.0000
Mg 0.0000 2.3462 3.2588
Mg 2.3462 0.0000 9.7765
Mg 2.3462 2.3462 6.5177
Ir 0.3862 3.5193 8.1471
Ir 1.1731 0.3862 4.8882
Ir 1.1731 1.9600 11.4059
Ir 1.9600 3.5193 1.6294
Ir 2.7325 1.1731 1.6294
Ir 3.5193 2.7325 11.4059
Ir 3.5193 4.3062 4.8882
Ir 4.3062 1.1731 8.1471
O 0.0000 0.0000 6.5177
O 0.0000 2.3462 9.7765
O 2.3462 0.0000 3.2588
O 2.3462 2.3462 0.0000
```

Values from the calculation:
* magnetization: 0.0 μB per cell

The most stable arrangement is arrangement ii, and the next structure is 55.0 kJ/mol of atoms less stable.